Record 1
# PBE YCo2Bi2, optimized geometry
# Fermi-level density of states (states/eV/cell): 5.3
# Energy of formation (eV/f.u.): 0.171
# Total moment (Bohr magnetons per cell): 3.35
# Theoretical density (g/cm3): 9.54
# Crystal system: tetragonal
# Distance to the lowest polymorph of the same formula (eV/atom): 0.000
data_YCo2Bi2
_chemical_formula_sum 'Y2 Co4 Bi4'
_cell_length_a 4.381
_cell_length_b 4.381
_cell_length_c 11.326
_cell_angle_alpha 90.00
_cell_angle_beta 90.00
_cell_angle_gamma 90.00
_symmetry_space_group_name_H-M 'I 4/m m m'
_symmetry_Int_Tables_number 139
_symmetry_space_group_name_Hall '-I 4 2'
loop_
_atom_site_label
_atom_site_type_symbol
_atom_site_fract_x
_atom_site_fract_y
_atom_site_fract_z
_atom_site_occupancy
Y1 Y 0.000 0.000 0.000 1
Co1 Co 0.000 0.500 0.250 1
Bi1 Bi 0.000 0.000 0.366 1


Record 2
# PBE YCo2Bi2, optimized geometry
# Fermi-level density of states (states/eV/cell): 14.1
# Energy of formation (eV/f.u.): 0.259
# Total moment (Bohr magnetons per cell): 4.86
# Theoretical density (g/cm3): 9.93
# Crystal system: tetragonal
# Distance to the lowest polymorph of the same formula (eV/atom): 0.018
data_YCo2Bi2
_chemical_formula_sum 'Y2 Co4 Bi4'
_cell_length_a 7.357
_cell_length_b 7.357
_cell_length_c 3.859
_cell_angle_alpha 90.00
_cell_angle_beta 90.00
_cell_angle_gamma 90.00
_symmetry_space_group_name_H-M 'P 4/m b m'
_symmetry_Int_Tables_number 127
_symmetry_space_group_name_Hall '-P 4 2ab'
loop_
_atom_site_label
_atom_site_type_symbol
_atom_site_fract_x
_atom_site_fract_y
_atom_site_fract_z
_atom_site_occupancy
Y1 Y 0.000 0.000 0.000 1
Co1 Co 0.112 0.388 0.000 1
Bi1 Bi 0.175 0.675 0.500 1


Record 3
# PBE Y2CoBi, optimized geometry
# Fermi-level density of states (states/eV/cell): 18.7
# Energy of formation (eV/f.u.): -0.452
# Total moment (Bohr magnetons per cell): 0.00
# Theoretical density (g/cm3): 7.24
# Crystal system: tetragonal
data_Y2CoBi
_chemical_formula_sum 'Y8 Co4 Bi4'
_cell_length_a 7.880
_cell_length_b 7.880
_cell_length_c 6.582
_cell_angle_alpha 90.00
_cell_angle_beta 90.00
_cell_angle_gamma 90.00
_symmetry_space_group_name_H-M 'I -4 2 d'
_symmetry_Int_Tables_number 122
_symmetry_space_group_name_Hall 'I -4 2bw'
loop_
_atom_site_label
_atom_site_type_symbol
_atom_site_fract_x
_atom_site_fract_y
_atom_site_fract_z
_atom_site_occupancy
Y1 Y 0.187 0.250 0.125 1
Co1 Co 0.000 0.000 0.000 1
Bi1 Bi 0.000 0.000 0.500 1


Record 4
# PBE YCo2Bi2, optimized geometry
# Fermi-level density of states (states/eV/cell): 7.6
# Energy of formation (eV/f.u.): 0.207
# Total moment (Bohr magnetons per cell): 4.86
# Theoretical density (g/cm3): 9.56
# Crystal system: tetragonal
# Distance to the lowest polymorph of the same formula (eV/atom): 0.007
data_YCo2Bi2
_chemical_formula_sum 'Y2 Co4 Bi4'
_cell_length_a 4.836
_cell_length_b 4.836
_cell_length_c 9.282
_cell_angle_alpha 90.00
_cell_angle_beta 90.00
_cell_angle_gamma 90.00
_symmetry_space_group_name_H-M 'I 4/m m m'
_symmetry_Int_Tables_number 139
_symmetry_space_group_name_Hall '-I 4 2'
loop_
_atom_site_label
_atom_site_type_symbol
_atom_site_fract_x
_atom_site_fract_y
_atom_site_fract_z
_atom_site_occupancy
Y1 Y 0.000 0.000 0.000 1
Co1 Co 0.000 0.000 0.380 1
Bi1 Bi 0.000 0.500 0.250 1


Record 5
# PBE Y3Co3Bi, optimized geometry
# Fermi-level density of states (states/eV/cell): 17.1
# Energy of formation (eV/f.u.): -2.160
# Total moment (Bohr magnetons per cell): 5.01
# Theoretical density (g/cm3): 6.93
# Crystal system: hexagonal
data_Y3Co3Bi
_chemical_formula_sum 'Y6 Co6 Bi2'
_cell_length_a 9.2649
_cell_length_b 9.2649
_cell_length_c 4.2063
_cell_angle_alpha 90.00
_cell_angle_beta 90.00
_cell_angle_gamma 120.00
_symmetry_space_group_name_H-M 'P 63/m'
_symmetry_Int_Tables_number 176
_symmetry_space_group_name_Hall '-P 6c'
loop_
_atom_site_label
_atom_site_type_symbol
_atom_site_fract_x
_atom_site_fract_y
_atom_site_fract_z
_atom_site_occupancy
Y1 Y 0.0772 0.6927 0.2500 1
Co1 Co 0.0211 0.8655 0.7500 1
Bi1 Bi 0.3333 0.6667 0.7500 1


Record 6
# PBE Y6Co2Bi, optimized geometry
# Fermi-level density of states (states/eV/cell): 26.9
# Energy of formation (eV/f.u.): -2.821
# Total moment (Bohr magnetons per cell): 0.00
# Theoretical density (g/cm3): 6.10
# Crystal system: orthorhombic
data_Y6Co2Bi
_chemical_formula_sum 'Y24 Co8 Bi4'
_cell_length_a 9.510
_cell_length_b 9.767
_cell_length_c 10.085
_cell_angle_alpha 90.00
_cell_angle_beta 90.00
_cell_angle_gamma 90.00
_symmetry_space_group_name_H-M 'I m m m'
_symmetry_Int_Tables_number 71
_symmetry_space_group_name_Hall '-I 2 2'
loop_
_atom_site_label
_atom_site_type_symbol
_atom_site_fract_x
_atom_site_fract_y
_atom_site_fract_z
_atom_site_occupancy
Y1 Y 0.000 0.211 0.235 1
Y2 Y 0.183 0.500 0.176 1
Y3 Y 0.214 0.316 0.500 1
Co1 Co 0.000 0.345 0.000 1
Co2 Co 0.000 0.500 0.389 1
Bi1 Bi 0.000 0.000 0.000 1
Bi2 Bi 0.000 0.000 0.500 1


Record 7
# PBE Y8Co2Bi, optimized geometry
# Fermi-level density of states (states/eV/cell): 29.1
# Energy of formation (eV/f.u.): -1.888
# Total moment (Bohr magnetons per cell): 0.61
# Theoretical density (g/cm3): 5.68
# Crystal system: monoclinic
data_Y8Co2Bi
_chemical_formula_sum 'Y16 Co4 Bi2'
_cell_length_a 8.630
_cell_length_b 13.215
_cell_length_c 5.459
_cell_angle_alpha 90.00
_cell_angle_beta 102.93
_cell_angle_gamma 90.00
_symmetry_space_group_name_H-M 'C 1 2/m 1'
_symmetry_Int_Tables_number 12
_symmetry_space_group_name_Hall '-C 2y'
loop_
_atom_site_label
_atom_site_type_symbol
_atom_site_fract_x
_atom_site_fract_y
_atom_site_fract_z
_atom_site_occupancy
Y1 Y 0.000 0.249 0.000 1
Y2 Y 0.104 0.000 0.794 1
Y3 Y 0.205 0.368 0.580 1
Co1 Co 0.000 0.195 0.500 1
Bi1 Bi 0.000 0.500 0.000 1


Record 8
# PBE Y7Co2Bi2, optimized geometry
# Fermi-level density of states (states/eV/cell): 21.3
# Energy of formation (eV/f.u.): -4.242
# Total moment (Bohr magnetons per cell): 0.00
# Theoretical density (g/cm3): 6.42
# Crystal system: orthorhombic
data_Y7Co2Bi2
_chemical_formula_sum 'Y14 Co4 Bi4'
_cell_length_a 3.690
_cell_length_b 16.354
_cell_length_c 9.932
_cell_angle_alpha 90.00
_cell_angle_beta 90.00
_cell_angle_gamma 90.00
_symmetry_space_group_name_H-M 'I m m 2'
_symmetry_Int_Tables_number 44
_symmetry_space_group_name_Hall 'I 2 -2'
loop_
_atom_site_label
_atom_site_type_symbol
_atom_site_fract_x
_atom_site_fract_y
_atom_site_fract_z
_atom_site_occupancy
Y1 Y 0.000 0.000 0.000 1
Y2 Y 0.000 0.135 0.439 1
Y3 Y 0.000 0.316 0.632 1
Y4 Y 0.000 0.344 0.286 1
Co1 Co 0.000 0.239 0.942 1
Bi1 Bi 0.000 0.000 0.677 1
Bi2 Bi 0.000 0.500 0.770 1


Record 9
# PBE YCo2Bi, optimized geometry
# Fermi-level density of states (states/eV/cell): 22.3
# Energy of formation (eV/f.u.): 1.276
# Total moment (Bohr magnetons per cell): 9.66
# Theoretical density (g/cm3): 7.59
# Crystal system: tetragonal
data_YCo2Bi
_chemical_formula_sum 'Y4 Co8 Bi4'
_cell_length_a 4.502
_cell_length_b 4.502
_cell_length_c 17.948
_cell_angle_alpha 90.00
_cell_angle_beta 90.00
_cell_angle_gamma 90.00
_symmetry_space_group_name_H-M 'I -4 2 d'
_symmetry_Int_Tables_number 122
_symmetry_space_group_name_Hall 'I -4 2bw'
loop_
_atom_site_label
_atom_site_type_symbol
_atom_site_fract_x
_atom_site_fract_y
_atom_site_fract_z
_atom_site_occupancy
Y1 Y 0.000 0.000 0.000 1
Co1 Co 0.084 0.250 0.625 1
Bi1 Bi 0.000 0.000 0.500 1


Record 10
# PBE Y12Co6Bi, optimized geometry
# Fermi-level density of states (states/eV/cell): 17.3
# Energy of formation (eV/f.u.): -5.434
# Total moment (Bohr magnetons per cell): 0.00
# Theoretical density (g/cm3): 5.84
# Crystal system: cubic
data_Y12Co6Bi
_chemical_formula_sum 'Y24 Co12 Bi2'
_cell_length_a 9.748
_cell_length_b 9.748
_cell_length_c 9.748
_cell_angle_alpha 90.00
_cell_angle_beta 90.00
_cell_angle_gamma 90.00
_symmetry_space_group_name_H-M 'I m -3'
_symmetry_Int_Tables_number 204
_symmetry_space_group_name_Hall '-I 2 2 3'
loop_
_atom_site_label
_atom_site_type_symbol
_atom_site_fract_x
_atom_site_fract_y
_atom_site_fract_z
_atom_site_occupancy
Y1 Y 0.000 0.197 0.306 1
Co1 Co 0.000 0.388 0.500 1
Bi1 Bi 0.000 0.000 0.000 1


Record 11
# PBE ZnCo2Bi2, optimized geometry
# Fermi-level density of states (states/eV/cell): 13.1
# Energy of formation (eV/f.u.): 1.681
# Total moment (Bohr magnetons per cell): 3.64
# Theoretical density (g/cm3): 10.74
# Crystal system: tetragonal
data_ZnCo2Bi2
_chemical_formula_sum 'Zn2 Co4 Bi4'
_cell_length_a 6.867
_cell_length_b 6.867
_cell_length_c 3.942
_cell_angle_alpha 90.00
_cell_angle_beta 90.00
_cell_angle_gamma 90.00
_symmetry_space_group_name_H-M 'P 4/m b m'
_symmetry_Int_Tables_number 127
_symmetry_space_group_name_Hall '-P 4 2ab'
loop_
_atom_site_label
_atom_site_type_symbol
_atom_site_fract_x
_atom_site_fract_y
_atom_site_fract_z
_atom_site_occupancy
Zn1 Zn 0.000 0.000 0.000 1
Co1 Co 0.132 0.368 0.000 1
Bi1 Bi 0.170 0.670 0.500 1


Record 12
# PBE Zn3CoBi, optimized geometry
# Fermi-level density of states (states/eV/cell): 3.7
# Energy of formation (eV/f.u.): 1.779
# Total moment (Bohr magnetons per cell): 0.55
# Theoretical density (g/cm3): 7.78
# Crystal system: cubic
# Distance to the lowest polymorph of the same formula (eV/atom): 0.000
data_Zn3CoBi
_chemical_formula_sum 'Zn3 Co1 Bi1'
_cell_length_a 4.628
_cell_length_b 4.628
_cell_length_c 4.628
_cell_angle_alpha 90.00
_cell_angle_beta 90.00
_cell_angle_gamma 90.00
_symmetry_space_group_name_H-M 'P m -3 m'
_symmetry_Int_Tables_number 221
_symmetry_space_group_name_Hall '-P 4 2 3'
loop_
_atom_site_label
_atom_site_type_symbol
_atom_site_fract_x
_atom_site_fract_y
_atom_site_fract_z
_atom_site_occupancy
Zn1 Zn 0.000 0.000 0.500 1
Co1 Co 0.000 0.000 0.000 1
Bi1 Bi 0.500 0.500 0.500 1